First-principles (PBE) data for crystalline BaCdTc2 at its relaxed geometry, as listed in Alexandria via LeMat-Bulk.

Lattice parameters (Å, degrees): 4.333 4.535 4.535 90.00 90.00 90.00
Site moments in Bohr magnetons follow the coordinates.
Fractional positions:
Tc1 0.000 0.500 0.500  1.85
Tc2 0.000 0.000 0.000  1.85
Cd1 0.500 0.000 0.500  -0.04
Ba1 0.500 0.500 0.000  0.03

Output
Energy of formation from the pure elements, meV/atom: 1193
Calculated total energy, eV for the cell shown: -18.80

First-principles (PBE) data for crystalline BaCd2Tc at its relaxed geometry, as listed in Alexandria via LeMat-Bulk.

Lattice parameters (Å, degrees): 4.555 3.304 7.225 89.89 90.00 90.00
Site moments in Bohr magnetons follow the coordinates.
Fractional positions:
Cd1 0.500 0.124 0.318  -0.02
Cd2 0.000 0.125 0.057  -0.01
Tc1 0.000 0.623 0.382  1.66
Ba1 0.500 0.628 0.743  -0.02

Output
Excess energy over the best structure of this formula in the dataset, meV per atom: 71
Energy of formation from the pure elements, meV/atom: 462
Calculated total energy, eV for the cell shown: -12.27

First-principles (PBE) data for crystalline BaCdTc2 at its relaxed geometry, as listed in Alexandria via LeMat-Bulk.

Lattice parameters (Å, degrees): 4.291 4.291 7.099 72.39 72.39 60.01
Fractional positions:
Tc1 0.023 0.023 0.931
Tc2 0.699 0.699 0.903
Ba1 0.490 0.490 0.530
Cd1 0.288 0.288 0.136

Output
Energy of formation from the pure elements, meV/atom: 315
Calculated total energy, eV for the cell shown: -22.31

First-principles (PBE) data for crystalline BaCdTc2 at its relaxed geometry, as listed in Alexandria via LeMat-Bulk.

Lattice parameters (Å, degrees): 3.050 5.550 6.143 53.79 90.00 90.00
Site moments in Bohr magnetons follow the coordinates.
Fractional positions:
Tc1 0.500 0.500 0.000  0.87
Tc2 0.000 0.000 0.000  1.26
Cd1 0.000 0.000 0.500  -0.01
Ba1 0.500 0.500 0.500  0.00

Output
Energy of formation from the pure elements, meV/atom: 1111
Calculated total energy, eV for the cell shown: -19.13

First-principles (PBE) data for crystalline BaCd3Tc at its relaxed geometry, as listed in Alexandria via LeMat-Bulk.

Lattice parameters (Å, degrees): 5.306 5.306 5.306 90.00 90.00 90.00
Fractional positions:
Cd1 0.000 0.000 0.500
Cd2 0.000 0.500 0.000
Cd3 0.500 0.000 0.000
Ba1 0.500 0.500 0.500
Tc1 0.000 0.000 0.000

Output
Excess energy over the best structure of this formula in the dataset, meV per atom: 0
Energy of formation from the pure elements, meV/atom: 212
Calculated total energy, eV for the cell shown: -13.97

First-principles (PBE) data for crystalline BaCdTc2 at its relaxed geometry, as listed in Alexandria via LeMat-Bulk.

Lattice parameters (Å, degrees): 5.769 5.769 2.805 90.00 90.00 114.28
Fractional positions:
Cd1 0.000 0.500 0.500
Ba1 0.500 0.000 0.500
Tc1 0.500 0.500 0.000
Tc2 0.000 0.000 0.000

Output
Energy of formation from the pure elements, meV/atom: 1214
Calculated total energy, eV for the cell shown: -18.71

First-principles (PBE) data for crystalline BaCdTc2 at its relaxed geometry, as listed in Alexandria via LeMat-Bulk.

Lattice parameters (Å, degrees): 6.693 6.693 6.693 147.02 138.06 54.36
Fractional positions:
Tc1 0.792 0.292 0.500
Tc2 0.903 0.903 0.000
Ba1 0.533 0.533 0.000
Cd1 0.272 0.772 0.500

Output
Energy of formation from the pure elements, meV/atom: 608
Calculated total energy, eV for the cell shown: -21.14

First-principles (PBE) data for crystalline BaCd2Tc at its relaxed geometry, as listed in Alexandria via LeMat-Bulk.

Lattice parameters (Å, degrees): 3.430 3.430 8.494 90.00 90.00 90.00
Site moments in Bohr magnetons follow the coordinates.
Fractional positions:
Cd1 0.000 0.000 0.437  0.01
Cd2 0.000 0.000 0.063  0.01
Ba1 0.500 0.500 0.750  0.07
Tc1 0.500 0.500 0.250  1.83

Output
Excess energy over the best structure of this formula in the dataset, meV per atom: 0
Energy of formation from the pure elements, meV/atom: 391
Calculated total energy, eV for the cell shown: -12.56

First-principles (PBE) data for crystalline BaCdTc2 at its relaxed geometry, as listed in Alexandria via LeMat-Bulk.

Lattice parameters (Å, degrees): 3.197 5.355 4.952 90.00 90.00 90.00
Site moments in Bohr magnetons follow the coordinates.
Fractional positions:
Ba1 0.500 0.000 0.500  -0.02
Tc1 0.000 0.000 0.000  0.54
Tc2 0.500 0.500 0.000  1.32
Cd1 0.000 0.500 0.500  -0.01

Output
Energy of formation from the pure elements, meV/atom: 1159
Calculated total energy, eV for the cell shown: -18.93

First-principles (PBE) data for crystalline BaCd2Tc at its relaxed geometry, as listed in Alexandria via LeMat-Bulk.

Lattice parameters (Å, degrees): 7.861 7.861 7.861 154.81 146.57 42.31
Site moments in Bohr magnetons follow the coordinates.
Fractional positions:
Ba1 0.318 0.818 0.500  -0.03
Tc1 0.507 0.507 0.000  1.38
Cd1 0.661 0.161 0.500  -0.01
Cd2 0.014 0.014 0.000  -0.01

Output
Excess energy over the best structure of this formula in the dataset, meV per atom: 57
Energy of formation from the pure elements, meV/atom: 448
Calculated total energy, eV for the cell shown: -12.33

First-principles (PBE) data for crystalline BaCdTc2 at its relaxed geometry, as listed in Alexandria via LeMat-Bulk.

Lattice parameters (Å, degrees): 3.227 3.227 8.521 90.00 90.00 90.00
Fractional positions:
Tc1 0.000 0.000 0.036
Tc2 0.500 0.500 0.174
Cd1 0.500 0.500 0.811
Ba1 0.000 0.000 0.479

Output
Energy of formation from the pure elements, meV/atom: 337
Calculated total energy, eV for the cell shown: -22.22

First-principles (PBE) data for crystalline BaCd2Tc at its relaxed geometry, as listed in Alexandria via LeMat-Bulk.

Lattice parameters (Å, degrees): 5.089 5.089 6.850 80.68 80.68 39.00
Site moments in Bohr magnetons follow the coordinates.
Fractional positions:
Tc1 0.507 0.507 0.413  1.72
Ba1 0.757 0.757 0.727  0.00
Cd1 0.244 0.244 0.280  -0.01
Cd2 0.992 0.992 0.080  0.00

Output
Excess energy over the best structure of this formula in the dataset, meV per atom: 143
Energy of formation from the pure elements, meV/atom: 533
Calculated total energy, eV for the cell shown: -11.99

First-principles (PBE) data for crystalline BaCdTc2 at its relaxed geometry, as listed in Alexandria via LeMat-Bulk.

Lattice parameters (Å, degrees): 5.371 5.371 5.371 130.15 130.15 73.17
Site moments in Bohr magnetons follow the coordinates.
Fractional positions:
Tc1 0.500 0.500 0.000  1.72
Tc2 0.000 0.000 0.000  1.72
Ba1 0.250 0.750 0.500  0.00
Cd1 0.750 0.250 0.500  -0.04

Output
Energy of formation from the pure elements, meV/atom: 1229
Calculated total energy, eV for the cell shown: -18.65

First-principles (PBE) data for crystalline BaCd4Tc at its relaxed geometry, as listed in Alexandria via LeMat-Bulk.

Lattice parameters (Å, degrees): 5.928 5.928 5.928 60.00 60.00 60.00
Site moments in Bohr magnetons follow the coordinates.
Fractional positions:
Cd1 0.377 0.870 0.377  -0.02
Cd2 0.377 0.377 0.377  -0.02
Cd3 0.870 0.377 0.377  -0.02
Cd4 0.377 0.377 0.870  -0.02
Tc1 0.750 0.750 0.750  2.48
Ba1 0.000 0.000 0.000  0.02

Output
Energy of formation from the pure elements, meV/atom: 306
Calculated total energy, eV for the cell shown: -14.11

First-principles (PBE) data for crystalline BaCdTc2 at its relaxed geometry, as listed in Alexandria via LeMat-Bulk.

Lattice parameters (Å, degrees): 5.252 5.252 6.195 71.23 71.23 44.04
Fractional positions:
Ba1 0.750 0.750 0.750
Tc1 0.982 0.982 0.160
Tc2 0.518 0.518 0.340
Cd1 0.250 0.250 0.250

Output
Energy of formation from the pure elements, meV/atom: 534
Calculated total energy, eV for the cell shown: -21.43

First-principles (PBE) data for crystalline BaCd2Tc at its relaxed geometry, as listed in Alexandria via LeMat-Bulk.

Lattice parameters (Å, degrees): 5.208 5.208 10.350 75.43 75.43 90.00
Site moments in Bohr magnetons follow the coordinates.
Fractional positions:
Cd1 0.875 0.707 0.750  -0.02
Cd2 0.293 0.625 0.250  -0.03
Cd3 0.457 0.125 0.250  -0.03
Cd4 0.375 0.543 0.750  -0.02
Tc1 0.500 0.500 0.000  1.68
Tc2 0.250 0.750 0.500  1.68
Ba1 0.000 0.000 0.000  -0.04
Ba2 0.750 0.250 0.500  -0.04

Output
Excess energy over the best structure of this formula in the dataset, meV per atom: 241
Energy of formation from the pure elements, meV/atom: 632
Calculated total energy, eV for the cell shown: -23.18

First-principles (PBE) data for crystalline BaCd2Tc at its relaxed geometry, as listed in Alexandria via LeMat-Bulk.

Lattice parameters (Å, degrees): 3.707 3.707 7.769 90.00 90.00 90.00
Site moments in Bohr magnetons follow the coordinates.
Fractional positions:
Tc1 0.000 0.000 0.424  1.09
Ba1 0.500 0.500 0.722  -0.03
Cd1 0.000 0.000 0.062  -0.01
Cd2 0.500 0.500 0.291  -0.01

Output
Excess energy over the best structure of this formula in the dataset, meV per atom: 83
Energy of formation from the pure elements, meV/atom: 474
Calculated total energy, eV for the cell shown: -12.22

First-principles (PBE) data for crystalline BaCd2Tc at its relaxed geometry, as listed in Alexandria via LeMat-Bulk.

Lattice parameters (Å, degrees): 5.696 5.696 5.696 131.46 131.46 71.08
Site moments in Bohr magnetons follow the coordinates.
Fractional positions:
Cd1 0.000 0.000 0.000  -0.03
Cd2 0.250 0.750 0.500  -0.03
Ba1 0.750 0.250 0.500  -0.02
Tc1 0.500 0.500 0.000  1.43

Output
Excess energy over the best structure of this formula in the dataset, meV per atom: 262
Energy of formation from the pure elements, meV/atom: 653
Calculated total energy, eV for the cell shown: -11.51

First-principles (PBE) data for crystalline BaCdTc2 at its relaxed geometry, as listed in Alexandria via LeMat-Bulk.

Lattice parameters (Å, degrees): 3.696 3.696 7.206 90.00 90.00 90.00
Site moments in Bohr magnetons follow the coordinates.
Fractional positions:
Tc1 0.000 0.000 0.904  0.34
Tc2 0.000 0.000 0.596  0.34
Ba1 0.500 0.500 0.250  0.01
Cd1 0.500 0.500 0.750  0.00

Output
Energy of formation from the pure elements, meV/atom: 794
Calculated total energy, eV for the cell shown: -20.39

First-principles (PBE) data for crystalline BaCdTc2 at its relaxed geometry, as listed in Alexandria via LeMat-Bulk.

Lattice parameters (Å, degrees): 10.811 10.811 10.811 15.91 15.91 15.91
Site moments in Bohr magnetons follow the coordinates.
Fractional positions:
Tc1 0.490 0.490 0.490  0.19
Tc2 0.010 0.010 0.010  0.19
Cd1 0.750 0.750 0.750  0.00
Ba1 0.250 0.250 0.250  -0.01

Output
Energy of formation from the pure elements, meV/atom: 1175
Calculated total energy, eV for the cell shown: -18.87

First-principles (PBE) data for crystalline BaV2CdTc at its relaxed geometry, as listed in Alexandria via LeMat-Bulk.

Lattice parameters (Å, degrees): 4.786 5.902 4.786 90.00 90.00 90.00
Site moments in Bohr magnetons follow the coordinates.
Fractional positions:
V1 0.500 0.000 0.000  2.54
V2 0.000 0.000 0.500  1.57
Cd1 0.500 0.500 0.500  0.02
Ba1 0.000 0.500 0.000  0.05
Tc1 0.000 0.000 0.000  -0.66

Output
Energy of formation from the pure elements, meV/atom: 961
Calculated total energy, eV for the cell shown: -26.63

First-principles (PBE) data for crystalline BaYCdTc2 at its relaxed geometry, as listed in Alexandria via LeMat-Bulk.

Lattice parameters (Å, degrees): 5.017 5.487 5.017 90.00 90.00 90.00
Site moments in Bohr magnetons follow the coordinates.
Fractional positions:
Cd1 0.500 0.500 0.500  -0.01
Tc1 0.000 0.000 0.500  1.11
Tc2 0.500 0.000 0.000  1.10
Y1 0.000 0.500 0.000  -0.15
Ba1 0.000 0.000 0.000  -0.05

Output
Energy of formation from the pure elements, meV/atom: 2052
Calculated total energy, eV for the cell shown: -19.77

First-principles (PBE) data for crystalline BaCd2Te2 at its relaxed geometry, as listed in Alexandria via LeMat-Bulk.

Lattice parameters (Å, degrees): 8.797 8.797 4.301 90.00 90.00 90.00
Fractional positions:
Te1 0.847 0.653 0.000
Te2 0.153 0.347 0.000
Te3 0.653 0.153 0.000
Te4 0.347 0.847 0.000
Cd1 0.137 0.637 0.500
Cd2 0.363 0.137 0.500
Cd3 0.863 0.363 0.500
Cd4 0.637 0.863 0.500
Ba1 0.000 0.000 0.000
Ba2 0.500 0.500 0.000

Output
Excess energy over the best structure of this formula in the dataset, meV per atom: 250
Formation energy without anion corrections, meV/atom: -480
Calculated total energy, eV for the cell shown: -24.87

First-principles (PBE) data for crystalline BaCdTe at its relaxed geometry, as listed in Alexandria via LeMat-Bulk.

Lattice parameters (Å, degrees): 6.365 6.365 4.407 69.75 69.75 40.50
Fractional positions:
Te1 0.673 0.673 0.327
Ba1 0.006 0.006 0.994
Cd1 0.321 0.321 0.679

Output
Excess energy over the best structure of this formula in the dataset, meV per atom: 39
Formation energy without anion corrections, meV/atom: -825
Calculated total energy, eV for the cell shown: -8.46

First-principles (PBE) data for crystalline BaCd3Te at its relaxed geometry, as listed in Alexandria via LeMat-Bulk.

Lattice parameters (Å, degrees): 6.411 6.411 6.411 90.00 90.00 90.00
Fractional positions:
Ba1 0.000 0.000 0.000
Cd1 0.000 0.500 0.000
Cd2 0.000 0.000 0.500
Cd3 0.500 0.000 0.000
Te1 0.500 0.500 0.500

Output
Excess energy over the best structure of this formula in the dataset, meV per atom: 484
Formation energy without anion corrections, meV/atom: 561
Calculated total energy, eV for the cell shown: -5.00

First-principles (PBE) data for crystalline BaCdTe at its relaxed geometry, as listed in Alexandria via LeMat-Bulk.

Lattice parameters (Å, degrees): 5.720 5.720 5.720 60.00 60.00 60.00
Fractional positions:
Te1 0.500 0.500 0.500
Ba1 0.750 0.750 0.750
Cd1 0.000 0.000 0.000

Output
Excess energy over the best structure of this formula in the dataset, meV per atom: 56
Formation energy without anion corrections, meV/atom: -808
Calculated total energy, eV for the cell shown: -8.40

First-principles (PBE) data for crystalline Ba2CdTe2 at its relaxed geometry, as listed in Alexandria via LeMat-Bulk.

Lattice parameters (Å, degrees): 8.278 8.278 8.278 131.90 131.90 70.38
Fractional positions:
Ba1 0.718 0.718 0.000
Ba2 0.282 0.282 0.000
Cd1 0.000 0.000 0.000
Te1 0.250 0.750 0.500
Te2 0.750 0.250 0.500

Output
Excess energy over the best structure of this formula in the dataset, meV per atom: 221
Formation energy without anion corrections, meV/atom: -985
Calculated total energy, eV for the cell shown: -15.97

First-principles (PBE) data for crystalline BaCd2Te2 at its relaxed geometry, as listed in Alexandria via LeMat-Bulk.

Lattice parameters (Å, degrees): 4.489 4.489 8.941 75.46 75.46 90.00
Fractional positions:
Te1 0.599 0.599 0.803
Te2 0.401 0.401 0.197
Cd1 0.750 0.250 0.500
Cd2 0.250 0.750 0.500
Ba1 0.000 0.000 0.000

Output
Excess energy over the best structure of this formula in the dataset, meV per atom: 102
Formation energy without anion corrections, meV/atom: -627
Calculated total energy, eV for the cell shown: -13.17

First-principles (PBE) data for crystalline BaCdTe at its relaxed geometry, as listed in Alexandria via LeMat-Bulk.

Lattice parameters (Å, degrees): 5.033 5.033 5.373 90.00 90.00 120.00
Fractional positions:
Te1 0.333 0.667 0.630
Cd1 0.667 0.333 0.368
Ba1 0.000 0.000 0.001

Output
Excess energy over the best structure of this formula in the dataset, meV per atom: 0
Formation energy without anion corrections, meV/atom: -865
Calculated total energy, eV for the cell shown: -8.57